# 1
Density functional theory data (PBE-GGA) for crystalline Dy3Tl2Au at its relaxed geometry.

Geometry as extended XYZ:
```
12
Lattice="7.722 -3.164 0.000 7.722 3.164 0.000 -1.564 0.000 6.474" Properties=species:S:1:pos:R:3 pbc="T T T"
Dy 6.550 2.316 4.856
Dy 4.612 0.624 2.660
Dy 3.830 -0.624 5.898
Dy 10.050 0.624 0.577
Dy 9.269 -0.624 3.814
Dy 7.331 -2.316 1.619
Tl 2.490 0.667 0.341
Tl 1.708 -0.667 3.578
Tl 12.173 0.667 2.896
Tl 11.391 -0.667 6.133
Au 7.331 0.813 1.619
Au 6.550 -0.813 4.856
```

Properties
Space-group type: C2/c, No. 15
Energy above the most stable polymorph in this dataset: 102 meV/atom
Energy of formation from the pure elements: -9.61 kcal/mol of atoms
Calculated volume: 26.37 A^3/atom

***

# 2
Density functional theory data (PBE-GGA) for crystalline TeAs2Br at its relaxed geometry.

Geometry as extended XYZ:
```
12
Lattice="4.057 0.000 0.000 -2.028 3.513 0.000 0.000 0.000 21.808" Properties=species:S:1:pos:R:3 pbc="T T T"
Te 0.000 0.000 0.000
Te 0.000 2.342 14.539
Te 2.028 1.171 7.269
As 0.000 0.000 5.569
As 0.000 0.000 16.239
As 0.000 2.342 8.970
As 0.000 2.342 20.108
As 2.028 1.171 1.700
As 2.028 1.171 12.839
Br 0.000 0.000 10.904
Br 0.000 2.342 3.635
Br 2.028 1.171 18.174
```

Properties
Raw formation energy: 274 meV/atom
Space-group type: R-3m, No. 166
Energy above the most stable polymorph in this dataset: 314 meV/atom
Calculated volume: 25.90 A^3/atom

***

# 3
Density functional theory data (PBE-GGA) for crystalline CoPbCl2 at its relaxed geometry.

Geometry as extended XYZ:
```
16
Lattice="8.199 0.000 0.000 0.000 8.199 0.000 0.000 0.000 5.431" Properties=species:S:1:pos:R:3 pbc="T T T"
Co 0.000 0.000 0.000
Co 0.000 4.099 1.358
Co 4.099 0.000 4.073
Co 4.099 4.099 2.715
Pb 0.000 0.000 2.715
Pb 0.000 4.099 4.073
Pb 4.099 0.000 1.358
Pb 4.099 4.099 0.000
Cl 0.998 2.050 0.679
Cl 2.050 5.098 2.036
Cl 2.050 7.201 4.752
Cl 3.101 2.050 3.394
Cl 5.098 6.149 3.394
Cl 6.149 0.998 4.752
Cl 6.149 3.101 2.036
Cl 7.201 6.149 0.679
```

Properties
Raw formation energy: -237 meV/atom
Space-group type: I-42d, No. 122
Energy above the most stable polymorph in this dataset: 160 meV/atom
Calculated volume: 22.82 A^3/atom

***

# 4
Density functional theory data (PBE-GGA) for crystalline Zn3CuAgAu at its relaxed geometry.

Geometry as extended XYZ:
```
12
Lattice="7.370 0.000 0.000 0.000 3.097 0.000 -3.147 0.000 8.235" Properties=species:S:1:pos:R:3 pbc="T T T"
Zn 0.003 0.774 2.287
Zn -1.946 0.774 8.110
Zn 1.087 2.323 4.470
Zn 3.136 0.774 3.765
Zn 6.169 2.323 0.125
Zn 4.220 2.323 5.948
Cu 1.946 2.323 1.928
Cu 2.278 0.774 6.308
Ag 0.200 2.323 7.149
Ag 4.023 0.774 1.087
Au -1.094 0.774 5.218
Au 5.318 2.323 3.018
```

Properties
Space-group type: P2_1/m, No. 11
Energy of formation from the pure elements: -0.89 kcal/mol of atoms
Calculated volume: 15.66 A^3/atom

***

# 5
Density functional theory data (PBE-GGA) for crystalline La3Sb4Ir3 at its relaxed geometry.

Geometry as extended XYZ:
```
20
Lattice="-4.996 4.996 4.996 4.996 -4.996 4.996 4.996 4.996 -4.996" Properties=species:S:1:pos:R:3 pbc="T T T"
La 4.996 -2.498 3.747
La 3.747 4.996 -2.498
La 4.996 2.498 1.249
La 2.498 1.249 4.996
La 1.249 4.996 2.498
La -2.498 3.747 4.996
Sb 3.275 1.722 -1.722
Sb 5.773 -0.777 0.777
Sb 1.722 -1.722 3.275
Sb 1.722 1.722 1.722
Sb -1.722 3.275 1.722
Sb 0.777 5.773 -0.777
Sb -0.777 0.777 5.773
Sb 4.220 4.220 4.220
Ir 7.495 1.249 0.000
Ir 3.747 0.000 2.498
Ir 2.498 3.747 0.000
Ir 0.000 2.498 3.747
Ir 1.249 0.000 7.495
Ir 0.000 7.495 1.249
```

Properties
Raw formation energy: -800 meV/atom
Space-group type: I-43d, No. 220
Calculated volume: 24.95 A^3/atom

***

# 6
Density functional theory data (PBE-GGA) for crystalline Re2PRh at its relaxed geometry.

Geometry as extended XYZ:
```
12
Lattice="2.804 0.000 0.000 -1.402 2.428 0.000 0.000 0.000 24.693" Properties=species:S:1:pos:R:3 pbc="T T T"
Re 0.000 0.000 6.016
Re 0.000 0.000 18.677
Re 0.000 1.619 10.446
Re 0.000 1.619 22.478
Re 1.402 0.809 2.215
Re 1.402 0.809 14.247
P 0.000 0.000 12.346
P 0.000 1.619 4.115
P 1.402 0.809 20.577
Rh 0.000 0.000 0.000
Rh 0.000 1.619 16.462
Rh 1.402 0.809 8.231
```

Properties
Space-group type: R-3m, No. 166
Energy of formation from the pure elements: -0.43 kcal/mol of atoms
Calculated volume: 14.01 A^3/atom

***

# 7
Density functional theory data (PBE-GGA) for crystalline AsP2Cl at its relaxed geometry.

Geometry as extended XYZ:
```
16
Lattice="6.701 0.000 0.000 0.000 6.701 0.000 0.000 0.000 8.152" Properties=species:S:1:pos:R:3 pbc="T T T"
As 0.000 0.000 0.000
As 0.000 3.350 2.038
As 3.350 0.000 6.114
As 3.350 3.350 4.076
P 1.387 1.675 1.019
P 1.675 4.737 3.057
P 1.675 5.314 7.133
P 1.964 1.675 5.095
P 4.737 5.026 5.095
P 5.026 1.387 7.133
P 5.026 1.964 3.057
P 5.314 5.026 1.019
Cl 0.000 0.000 4.076
Cl 0.000 3.350 6.114
Cl 3.350 0.000 2.038
Cl 3.350 3.350 0.000
```

Properties
Raw formation energy: 516 meV/atom
Space-group type: I-42d, No. 122
Energy above the most stable polymorph in this dataset: 513 meV/atom
Calculated volume: 22.88 A^3/atom

***

# 8
Density functional theory data (PBE-GGA) for crystalline Ho2Ag2Hg at its relaxed geometry.

Geometry as extended XYZ:
```
10
Lattice="5.231 0.000 0.000 0.014 5.244 0.000 2.600 0.004 8.361" Properties=species:S:1:pos:R:3 pbc="T T T"
Ho 1.305 1.318 1.834
Ho 3.913 1.308 6.526
Ho 3.933 3.940 1.834
Ho 6.541 3.931 6.526
Ag 1.317 3.939 3.463
Ag 3.929 3.931 4.898
Ag 3.917 1.318 3.463
Ag 6.529 1.309 4.898
Hg 3.923 3.937 8.361
Hg 3.923 1.312 0.000
```

Properties
Space-group type: P-1, No. 2
Energy of formation from the pure elements: -8.70 kcal/mol of atoms
Calculated volume: 22.94 A^3/atom

***

Look up the calculated volume of the fifth one.
24.95 A^3/atom

***

Among the records above, which one has the lowest calculated volume?
Re2PRh

***

Repeat the fifth record exactly.
Density functional theory data (PBE-GGA) for crystalline La3Sb4Ir3 at its relaxed geometry.

Geometry as extended XYZ:
```
20
Lattice="-4.996 4.996 4.996 4.996 -4.996 4.996 4.996 4.996 -4.996" Properties=species:S:1:pos:R:3 pbc="T T T"
La 4.996 -2.498 3.747
La 3.747 4.996 -2.498
La 4.996 2.498 1.249
La 2.498 1.249 4.996
La 1.249 4.996 2.498
La -2.498 3.747 4.996
Sb 3.275 1.722 -1.722
Sb 5.773 -0.777 0.777
Sb 1.722 -1.722 3.275
Sb 1.722 1.722 1.722
Sb -1.722 3.275 1.722
Sb 0.777 5.773 -0.777
Sb -0.777 0.777 5.773
Sb 4.220 4.220 4.220
Ir 7.495 1.249 0.000
Ir 3.747 0.000 2.498
Ir 2.498 3.747 0.000
Ir 0.000 2.498 3.747
Ir 1.249 0.000 7.495
Ir 0.000 7.495 1.249
```

Properties
Raw formation energy: -800 meV/atom
Space-group type: I-43d, No. 220
Calculated volume: 24.95 A^3/atom